No. 1
# Nd3Ga4Rh4, relaxed, DFT PBE-GGA
data_Nd3Ga4Rh4
_cell_length_a 4.2854
_cell_length_b 6.9694
_cell_length_c 14.3780
_cell_angle_alpha 90.00
_cell_angle_beta 90.00
_cell_angle_gamma 90.00
_symmetry_space_group_name_H-M 'I m m m'
_symmetry_Int_Tables_number 71
_symmetry_space_group_name_Hall '-I 2 2'
loop_
_atom_site_label
_atom_site_type_symbol
_atom_site_fract_x
_atom_site_fract_y
_atom_site_fract_z
Nd1 Nd 0.0000 0.0000 0.0000
Nd2 Nd 0.0000 0.5000 0.1374
Ga1 Ga 0.0000 0.0000 0.2097
Ga2 Ga 0.0000 0.1892 0.5000
Rh1 Rh 0.0000 0.2954 0.3280
# - E_form (eV per atom) = -0.735
# - spin magnetization (μB/atom) = 0.00
# - calculated total energy (Ry/atom) = -0.427

---

No. 2
# Nd5Ga2Rh, relaxed, DFT PBE-GGA
data_Nd5Ga2Rh
_cell_length_a 7.7247
_cell_length_b 12.2159
_cell_length_c 4.7401
_cell_angle_alpha 90.00
_cell_angle_beta 90.00
_cell_angle_gamma 90.00
_symmetry_space_group_name_H-M 'P b a m'
_symmetry_Int_Tables_number 55
loop_
_symmetry_equiv_pos_as_xyz
'x,y,z'
'-x,-y,-z'
'-x,-y,z'
'x,y,-z'
'x+1/2,-y+1/2,-z'
'-x+1/2,y+1/2,z'
'-x+1/2,y+1/2,-z'
'x+1/2,-y+1/2,z'
loop_
_atom_site_label
_atom_site_type_symbol
_atom_site_fract_x
_atom_site_fract_y
_atom_site_fract_z
Nd1 Nd 0.0000 0.0000 0.0000
Nd2 Nd 0.1423 0.2914 0.0000
Nd3 Nd 0.1859 0.5794 0.5000
Ga1 Ga 0.0734 0.8338 0.5000
Rh1 Rh 0.0000 0.5000 0.0000
# - E_form (eV per atom) = -0.496
# - spin magnetization (μB/atom) = 0.00
# - calculated total energy (Ry/atom) = -0.379